Entry 1:
A relaxed Sr2MgSi crystal. Source: Alexandria via LeMat-Bulk, functional GGA-PBE.

```
Sr2MgSi
1.0
-2.428 2.428 5.206
2.428 -2.428 5.206
2.428 2.428 -5.206
Sr Mg Si
2 1 1
direct
0.000 0.000 0.000 Sr
0.750 0.250 0.500 Sr
0.250 0.750 0.500 Mg
0.500 0.500 0.000 Si
```

---

Entry 2:
A relaxed Sr4MgSi crystal. Source: Alexandria via LeMat-Bulk, functional GGA-PBE.

```
Sr4MgSi
1.0
0.000 5.002 5.002
5.002 0.000 5.002
5.002 5.002 0.000
Sr Mg Si
4 1 1
direct
0.376 0.376 0.376 Sr
0.376 0.376 0.873 Sr
0.376 0.873 0.376 Sr
0.873 0.376 0.376 Sr
0.000 0.000 0.000 Mg
0.750 0.750 0.750 Si
```

---

Entry 3:
A relaxed Sr2MgSi crystal. Source: Alexandria via LeMat-Bulk, functional GGA-PBE.

```
Sr2MgSi
1.0
4.502 -1.945 0.000
4.502 1.945 0.000
-1.479 0.000 8.377
Sr Mg Si
2 1 1
direct
0.233 0.233 0.202 Sr
0.767 0.767 0.798 Sr
0.000 0.000 0.500 Mg
0.500 0.500 0.000 Si
```

---

Number 1: uncorrected energy -2.55 eV per atom, M_tot 0.000 μB per atom. Number 2: uncorrected energy -1.68 eV per atom, M_tot 0.000 μB per atom. Number 3: uncorrected energy -2.57 eV per atom, M_tot 0.000 μB per atom.